1.
A plane-wave DFT calculation with PBE was carried out for BaMgFeTe after structural relaxation.

Summary:
Magnetic moment: 2.47 μB per formula unit
ρ: 4.9 Mg/m³
Energy relative to the lowest polymorph listed for this composition: 0.0 kJ per mole of atoms

Cell lengths 7.740, 7.740, 7.740 Å; angles 90.00, 90.00, 90.00 degrees
Space group F-43m (No. 216)
One atom of each set of equivalent atoms:
Ba1 0.000 0.000 0.000 x4
Mg1 0.000 0.000 0.500 x4
Fe1 0.250 0.250 0.250 x4
Te1 0.250 0.250 0.750 x4



2.
A plane-wave DFT calculation with PBE was carried out for CsRbNbSeS2 after structural relaxation.

Summary:
Magnetic moment: 0.00 μB per formula unit
ρ: 3.5 Mg/m³
Total DFT energy (no corrections): -5.134 eV/atom

Cell lengths 7.325, 8.005, 8.925 Å; angles 75.67, 67.36, 64.22 degrees
Space group P-1 (No. 2)
One atom of each set of equivalent atoms:
Cs1 0.188 0.414 0.181 x2
Rb1 0.419 0.798 0.354 x2
Nb1 0.120 0.945 0.832 x2
Se1 0.119 0.172 0.595 x2
S1 0.239 0.022 0.012 x2
S2 0.317 0.642 0.772 x2